# 1
Density functional theory data (PBE) for an optimized crystal structure of Cd2CuMo.

a = 7.3773 Å, b = 7.3773 Å, c = 5.5171 Å
α = 90.00°, β = 90.00°, γ = 90.00°
With the nearest neighbours (Å) after each atom.
Space group I-42d (No. 122)
Inequivalent atoms, fractional coordinates:
Cd (0.2229, 0.2500, 0.1250) x8  2 Cu 2.57, 2 Cd 2.79, 2 Mo 2.84
Cu (0.0000, 0.0000, 0.0000) x4  4 Cd 2.57, 2 Mo 2.76
Mo (0.0000, 0.0000, 0.5000) x4  2 Cu 2.76, 4 Cd 2.84

Output
Fermi-level density of states: 2.62 states/eV/f.u.
energy relative to the elements: 0.804 eV per atom
V: 18.77 A^3/atom
crystal system: tetragonal
offset from the most stable computed form: 0.5533 eV/atom
electronic total energy: -3.386 eV per atom



# 2
Density functional theory data (PBE) for an optimized crystal structure of Cd2CuMo.

a = 4.1842 Å, b = 4.1842 Å, c = 8.0218 Å
α = 90.00°, β = 90.00°, γ = 90.00°
With the nearest neighbours (Å) after each atom.
Space group I4/mmm (No. 139)
Inequivalent atoms, fractional coordinates:
Cd (0.0000, 0.5000, 0.2500) x4  4 Mo 2.90, 4 Cu 2.90, 4 Cd 2.96
Cu (0.0000, 0.0000, 0.0000) x2  8 Cd 2.90, 4 Mo 2.96
Mo (0.0000, 0.0000, 0.5000) x2  8 Cd 2.90, 4 Cu 2.96

Output
Fermi-level density of states: 3.04 states/eV/f.u.
energy relative to the elements: 0.565 eV per atom
V: 17.55 A^3/atom
crystal system: tetragonal
offset from the most stable computed form: 0.3142 eV/atom
electronic total energy: -3.625 eV per atom



# 3
Density functional theory data (PBE) for an optimized crystal structure of CdCuMo2.

a = 2.6965 Å, b = 4.4283 Å, c = 5.3694 Å
α = 90.00°, β = 94.97°, γ = 90.00°
With the nearest neighbours (Å) after each atom.
Space group P2/m (No. 10)
Inequivalent atoms, fractional coordinates:
Cd (0.0000, 0.0000, 0.0000) x1  2 Cu 2.68, 2 Cd 2.70, 8 Mo 2.95-2.99
Cu (0.0000, 0.0000, 0.5000) x1  2 Cd 2.68, 2 Cu 2.70, 8 Mo 2.78-2.96
Mo (0.4691, 0.5000, 0.7281) x2  3 Mo 2.47-2.70

Output
Fermi-level density of states: 1.46 states/eV/f.u.
energy relative to the elements: 0.355 eV per atom
V: 15.97 A^3/atom
crystal system: monoclinic
electronic total energy: -6.313 eV per atom